Computed, not measured: TbPaCo2O8 after structural relaxation at the GGA+U level of DFT.

The space group is I-4m2 (No. 119) and the conventional cell measures 7.141, 7.141 and 6.433 Å, with angles of 90.00, 90.00 and 90.00 degrees. The asymmetric unit holds Tb at (0.000, 0.000, 0.000), Pa at (0.000, 0.500, 0.250), Co at (0.000, 0.000, 0.500), Co at (0.000, 0.500, 0.750), O at (0.000, 0.191, 0.320) and O at (0.000, 0.319, 0.942).

As for the crystal system: tetragonal. As for the total magnetization: 20.003 μB/cell. As for the density of states at the Fermi level: 0.0416 states/eV/atom. The raw total energy is -7.433 eV per atom.